1.
Density functional theory data (PBE) for a relaxed K3Np2ZnS6 crystal.

Results
The space group is No. 12. Its formation energy without anion corrections is -1202.2 meV/atom.

Cell lengths 6.9211, 6.9211, 7.6924 Å; angles 98.59, 98.59, 120.02 degrees
Closest atoms and distances in Å follow each position.
Element x y z (fractional)
K 0.1650 0.8350 0.5000  6 S 3.18-3.24
K 0.8350 0.1650 0.5000  6 S 3.18-3.24
K 0.5000 0.5000 0.5000  6 S 3.19-3.24
Np 0.3332 0.6668 0.0000  6 S 2.74
Np 0.6668 0.3332 0.0000  6 S 2.74
Zn 0.0000 0.0000 0.0000  6 S 2.68-2.69
S 0.9343 0.6062 0.8027  1 Zn 2.69, 2 Np 2.74
S 0.7380 0.7380 0.1962  1 Zn 2.68, 2 Np 2.74
S 0.0657 0.3938 0.1973  1 Zn 2.69, 2 Np 2.74
S 0.6062 0.9343 0.8027  1 Zn 2.69, 2 Np 2.74
S 0.2620 0.2620 0.8038  1 Zn 2.68, 2 Np 2.74
S 0.3938 0.0657 0.1973  1 Zn 2.69, 2 Np 2.74



2.
Density functional theory data (PBE) for a relaxed Tb4Dy5Sc2 crystal.

Results
As for the energy relative to the elements: 0.272 eV per atom. The space group is No. 71.

Cell lengths 3.4448, 9.0733, 12.2134 Å; angles 111.80, 98.11, 90.00 degrees
Closest atoms and distances in Å follow each position.
Element x y z (fractional)
Tb 0.0000 0.3049 0.0000  4 Dy 3.26-3.53, 7 Tb 3.32-3.54
Tb 0.5990 0.5990 0.1979  1 Sc 2.94
Tb 0.0000 0.6951 0.0000  4 Dy 3.26-3.53, 7 Tb 3.32-3.54
Tb 0.4010 0.4010 0.8021  1 Sc 2.94
Dy 0.8477 0.0516 0.6954  1 Sc 3.22, 3 Tb 3.41-3.53, 2 Dy 3.44
Dy 0.8477 0.6439 0.6954  1 Sc 3.22, 3 Tb 3.41-3.53, 2 Dy 3.44
Dy 0.1523 0.3561 0.3046  1 Sc 3.22, 3 Tb 3.41-3.53, 2 Dy 3.44
Dy 0.1523 0.9484 0.3046  1 Sc 3.22, 3 Tb 3.41-3.53, 2 Dy 3.44
Dy 0.5000 0.0000 0.0000  4 Tb 3.26, 2 Dy 3.44
Sc 0.2701 0.2701 0.5402  1 Tb 2.94, 2 Dy 3.22
Sc 0.7299 0.7299 0.4598  1 Tb 2.94, 2 Dy 3.22



3.
Density functional theory data (PBE) for a relaxed SrSc2Ru crystal.

Results
As for the energy relative to the elements: 0.348 eV per atom. The space group is No. 216.

Cell lengths 5.0509, 5.0509, 5.0509 Å; angles 60.00, 60.00, 60.00 degrees
Closest atoms and distances in Å follow each position.
Element x y z (fractional)
Ru 0.5000 0.5000 0.5000  4 Sr 3.09, 4 Sc 3.09
Sc 0.0000 0.0000 0.0000  4 Sc 3.09, 4 Sr 3.09
Sc 0.2500 0.2500 0.2500  4 Ru 3.09, 4 Sc 3.09
Sr 0.7500 0.7500 0.7500  4 Sc 3.09, 4 Ru 3.09



4.
Density functional theory data (PBE) for a relaxed BC2 crystal.

Results
As for the energy relative to the elements: 0.279 eV per atom. The space group is No. 156.

Cell lengths 2.6315, 2.6315, 14.1328 Å; angles 90.00, 90.00, 120.00 degrees
Closest atoms and distances in Å follow each position.
Element x y z (fractional)
B 0.6667 0.3333 0.8574  4 C 1.66-1.67
B 0.3333 0.6667 0.7282  3 C 1.53
B 0.6667 0.3333 0.3076  4 C 1.60-1.67
B 0.3333 0.6667 0.4803  3 C 1.53
C 0.0000 0.0000 0.9046  1 C 1.49, 3 B 1.66
C 0.6667 0.3333 0.7391  4 B 1.53-1.67
C 0.0000 0.0000 0.3563  1 C 1.55, 3 B 1.67
C 0.0000 0.0000 0.4657  3 B 1.53, 1 C 1.55
C 0.3333 0.6667 0.1574  4 C 1.53-1.61
C 0.6667 0.3333 0.1942  1 B 1.60, 3 C 1.61
C 0.0000 0.0000 0.0104  4 C 1.49-1.61
C 0.3333 0.6667 0.0488  4 C 1.53-1.61



5.
Density functional theory data (PBE) for a relaxed TiGeIr2Pd crystal.

Results
As for the energy relative to the elements: 0.867 eV per atom. The space group is No. 123.

Cell lengths 4.6012, 4.7156, 4.6012 Å; angles 90.00, 90.00, 90.00 degrees
Closest atoms and distances in Å follow each position.
Element x y z (fractional)
Ge 0.5000 0.5000 0.5000  4 Pd 3.25, 8 Ir 3.29
Ir 0.0000 0.0000 0.5000  2 Ti 2.30
Ir 0.5000 0.0000 0.0000  2 Ti 2.30
Pd 0.0000 0.5000 0.0000  2 Ti 2.36
Ti 0.0000 0.0000 0.0000  4 Ir 2.30, 2 Pd 2.36



6.
Density functional theory data (PBE) for a relaxed CdBPd2 crystal.

Results
As for the energy relative to the elements: -0.119 eV per atom. The space group is No. 122.

Cell lengths 6.6380, 6.6380, 5.4480 Å; angles 52.47, 52.47, 90.00 degrees
Closest atoms and distances in Å follow each position.
Element x y z (fractional)
B 0.5000 0.5000 0.0000  4 Pd 2.07
B 0.2500 0.7500 0.5000  4 Pd 2.07
Pd 0.5287 0.1250 0.2500  2 B 2.07
Pd 0.2213 0.6250 0.2500  2 B 2.07
Pd 0.3750 0.4713 0.7500  2 B 2.07
Pd 0.8750 0.7787 0.7500  2 B 2.07
Cd 0.0000 0.0000 0.0000  2 B 2.77, 8 Pd 2.85-2.92
Cd 0.7500 0.2500 0.5000  2 B 2.77, 8 Pd 2.85-2.92